BaCrCu2F8 | GGA+U | optimized geometry

Properties
The total energy comes out at -5.1097 eV/atom.

Cell: 8.1816 5.7117 7.8519 Å, 90.00 91.40 90.00°
Last column: nearest neighbours and their distance in Å.
Space group C2/m (No. 12)
Unique sites:
Ba (0.0000, 0.0000, 0.0000) (multiplicity 2)  6 F 2.68-2.77
Cr (0.0000, 0.0000, 0.5000) (multiplicity 2)  6 F 1.94-1.96
Cu (0.1639, 0.5000, 0.2951) (multiplicity 4)  4 F 1.90-2.12
F (0.0097, 0.2253, 0.6886) (multiplicity 8)  1 Cr 1.96, 1 Cu 2.12
F (0.1779, 0.5000, 0.0540) (multiplicity 4)  1 Cu 1.90
F (0.2364, 0.0000, 0.4831) (multiplicity 4)  1 Cu 1.90, 1 Cr 1.94